Material: MgZn2Cd2Au5
Method: DFT, PBE
State: relaxed

The value obtained for the total energy is -2.45 eV/atom. The calculation puts the formation energy at -210 meV per atom.

The structure belongs to space group P4/mbm (No. 127); the cell edges are 9.655, 9.655 and 4.005 Å and the angles 90.00°, 90.00° and 90.00°. Symmetry generates all atoms from Mg at (0.000, 0.000, 0.000), Zn at (0.126, 0.374, 0.000), Cd at (0.170, 0.670, 0.000), Au at (0.000, 0.500, 0.500) and Au at (0.092, 0.190, 0.500).

=====

Material: LaCe2Lu
Method: DFT, PBE
State: relaxed

For the distance to the lowest polymorph of the same formula, the calculation gives 160 meV per atom. The value obtained for the total energy is -5.06 eV/atom. The calculation puts the formation energy at 271 meV per atom.

The structure belongs to space group Fm-3m (No. 225); the cell edges are 8.038, 8.038 and 8.038 Å and the angles 90.00°, 90.00° and 90.00°. Symmetry generates all atoms from La at (0.000, 0.000, 0.000), Ce at (0.250, 0.250, 0.250) and Lu at (0.000, 0.000, 0.500).

=====

Material: TaP2RhS
Method: DFT, PBE
State: relaxed

For the distance to the lowest polymorph of the same formula, the calculation gives 0 meV per atom. The value obtained for the total energy is -6.18 eV/atom. As for the uncorrected formation energy: 0.65 eV/atom.

The structure belongs to space group P4/mmm (No. 123); the cell edges are 4.795, 4.795 and 4.647 Å and the angles 90.00°, 90.00° and 90.00°. Symmetry generates all atoms from Ta at (0.000, 0.000, 0.000), P at (0.000, 0.500, 0.000), Rh at (0.500, 0.500, 0.500) and S at (0.000, 0.000, 0.500).

=====

Material: ScBe2Co
Method: DFT, PBE
State: relaxed

For the distance to the lowest polymorph of the same formula, the calculation gives 0 meV per atom. The value obtained for the total energy is -5.42 eV/atom. The calculation puts the formation energy at -202 meV per atom.

The structure belongs to space group R-3m (No. 166, hexagonal axes); the cell edges are 3.6593, 3.6593 and 13.2444 Å and the angles 90.00°, 90.00° and 120.00°. Symmetry generates all atoms from Sc at (0.0000, 0.0000, 0.0000), Be at (0.0000, 0.0000, 0.1976) and Co at (0.0000, 0.0000, 0.5000).

=====

Material: HfPa2Al
Method: DFT, PBE
State: relaxed

For the distance to the lowest polymorph of the same formula, the calculation gives 323 meV per atom. The value obtained for the total energy is -7.98 eV/atom. The calculation puts the formation energy at 196 meV per atom.

The structure belongs to space group Fm-3m (No. 225); the cell edges are 7.208, 7.208 and 7.208 Å and the angles 90.00°, 90.00° and 90.00°. Symmetry generates all atoms from Hf at (0.000, 0.000, 0.000), Pa at (0.250, 0.250, 0.250) and Al at (0.000, 0.000, 0.500).

=====

Material: Ho5AlRh4
Method: DFT, PBE
State: relaxed

The value obtained for the total energy is -6.41 eV/atom. The calculation puts the formation energy at -802 meV per atom.

The structure belongs to space group P4/mmm (No. 123); the cell edges are 3.457, 3.457 and 17.184 Å and the angles 90.00°, 90.00° and 90.00°. Symmetry generates all atoms from Ho at (0.000, 0.000, 0.000), Ho at (0.000, 0.000, 0.195), Ho at (0.000, 0.000, 0.388), Al at (0.500, 0.500, 0.500), Rh at (0.500, 0.500, 0.098) and Rh at (0.500, 0.500, 0.295).

=====

Material: TcRh2
Method: DFT, PBE
State: relaxed

For the distance to the lowest polymorph of the same formula, the calculation gives 389 meV per atom. The value obtained for the total energy is -8.11 eV/atom. The calculation puts the formation energy at 244 meV per atom.

The structure belongs to space group I4/mcm (No. 140); the cell edges are 6.093, 6.093 and 4.927 Å and the angles 90.00°, 90.00° and 90.00°. Symmetry generates all atoms from Tc at (0.000, 0.000, 0.250) and Rh at (0.148, 0.352, 0.000).

=====

Material: La2YAu3
Method: DFT, PBE
State: relaxed

The value obtained for the total energy is -5.16 eV/atom. The calculation puts the formation energy at -798 meV per atom.

The structure belongs to space group Pmmn (No. 59, origin choice 2); the cell edges are 5.225, 16.045 and 3.690 Å and the angles 90.00°, 90.00° and 90.00°. Symmetry generates all atoms from La at (0.250, 0.081, 0.006), Y at (0.250, 0.750, 0.996), Au at (0.250, 0.250, 0.503) and Au at (0.250, 0.597, 0.495).

=====

Material: Ho2Tm2Si4Ir
Method: DFT, PBE
State: relaxed

The value obtained for the total energy is -5.79 eV/atom. As for the uncorrected formation energy: -0.38 eV/atom.

The structure belongs to space group I4/mmm (No. 139); the cell edges are 6.792, 6.792 and 8.460 Å and the angles 90.00°, 90.00° and 90.00°. Symmetry generates all atoms from Ho at (0.000, 0.500, 0.250), Tm at (0.000, 0.000, 0.188), Si at (0.250, 0.250, 0.000) and Ir at (0.000, 0.000, 0.500).

=====

Material: Ho2Fe17C3
Method: DFT, PBE
State: relaxed

The value obtained for the total energy is -8.30 eV/atom. The calculation puts the formation energy at -85 meV per atom.

The structure belongs to space group P6_3/mmc (No. 194); the cell edges are 8.6220, 8.6220 and 8.3269 Å and the angles 90.00°, 90.00° and 120.00°. Symmetry generates all atoms from Ho at (0.0000, 0.0000, 0.2500), Ho at (0.3333, 0.6667, 0.2500), Fe at (0.0000, 0.5000, 0.0000), Fe at (0.0523, 0.3788, 0.7500), Fe at (0.1681, 0.3362, 0.0202), Fe at (0.3333, 0.6667, 0.6074) and C at (0.1655, 0.3311, 0.2500).

=====

Material: PrSm2Dy3Er6
Method: DFT, PBE
State: relaxed

The value obtained for the total energy is -4.60 eV/atom. The calculation puts the formation energy at 20 meV per atom.

The structure belongs to space group C2/m (No. 12); the cell edges are 6.161, 10.663 and 11.727 Å and the angles 90.00°, 100.05° and 90.00°. Symmetry generates all atoms from Pr at (0.000, 0.000, 0.000), Sm at (0.000, 0.333, 0.000), Dy at (0.000, 0.167, 0.500), Dy at (0.000, 0.500, 0.500), Er at (0.248, 0.333, 0.747) and Er at (0.249, 0.000, 0.747).

=====

Material: Cu4NiIr
Method: DFT, PBE
State: relaxed

For the distance to the lowest polymorph of the same formula, the calculation gives 0 meV per atom. The value obtained for the total energy is -5.09 eV/atom. The calculation puts the formation energy at 85 meV per atom.

The structure belongs to space group P4/mmm (No. 123); the cell edges are 2.639, 2.639 and 10.567 Å and the angles 90.00°, 90.00° and 90.00°. Symmetry generates all atoms from Cu at (0.000, 0.000, 0.156), Cu at (0.500, 0.500, 0.321), Ni at (0.500, 0.500, 0.000) and Ir at (0.000, 0.000, 0.500).

=====

Material: MnHg2Cl
Method: DFT, PBE
State: relaxed

For the distance to the lowest polymorph of the same formula, the calculation gives 354 meV per atom. The value obtained for the total energy is -2.72 eV/atom. As for the uncorrected formation energy: 0.18 eV/atom.

The structure belongs to space group I-4m2 (No. 119); the cell edges are 4.428, 4.428 and 9.231 Å and the angles 90.00°, 90.00° and 90.00°. Symmetry generates all atoms from Mn at (0.000, 0.000, 0.000), Hg at (0.000, 0.000, 0.500), Hg at (0.000, 0.500, 0.250) and Cl at (0.000, 0.500, 0.750).

=====

Material: Sr2Ga7Sn
Method: DFT, PBE
State: relaxed

The value obtained for the total energy is -3.24 eV/atom. The calculation puts the formation energy at -381 meV per atom.

The structure belongs to space group P-4m2 (No. 115); the cell edges are 4.612, 4.612 and 10.870 Å and the angles 90.00°, 90.00° and 90.00°. Symmetry generates all atoms from Sr at (0.000, 0.500, 0.239), Ga at (0.000, 0.000, 0.000), Ga at (0.000, 0.500, 0.642), Ga at (0.000, 0.500, 0.876), Ga at (0.500, 0.500, 0.000), Ga at (0.500, 0.500, 0.500) and Sn at (0.000, 0.000, 0.500).

=====

Material: Sr6P2PdBr3
Method: DFT, PBE
State: relaxed

The value obtained for the total energy is -3.98 eV/atom. As for the uncorrected formation energy: -1.39 eV/atom.

The structure belongs to space group C2/m (No. 12); the cell edges are 19.807, 4.454 and 9.235 Å and the angles 90.00°, 105.55° and 90.00°. Symmetry generates all atoms from Sr at (0.008, 0.000, 0.233), Sr at (0.157, 0.500, 0.110), Sr at (0.176, 0.500, 0.560), P at (0.165, 0.000, 0.335), Pd at (0.000, 0.500, 0.000), Br at (0.000, 0.500, 0.500) and Br at (0.170, 0.000, 0.832).

=====

Material: Mg3TiBr
Method: DFT, PBE
State: relaxed

For the distance to the lowest polymorph of the same formula, the calculation gives 159 meV per atom. The value obtained for the total energy is -2.12 eV/atom. As for the uncorrected formation energy: 0.75 eV/atom.

The structure belongs to space group Pm-3m (No. 221); the cell edges are 5.668, 5.668 and 5.668 Å and the angles 90.00°, 90.00° and 90.00°. Symmetry generates all atoms from Mg at (0.000, 0.000, 0.500), Ti at (0.000, 0.000, 0.000) and Br at (0.500, 0.500, 0.500).

=====

Material: LaPaB12
Method: DFT, PBE
State: relaxed

The value obtained for the total energy is -7.22 eV/atom. The calculation puts the formation energy at -467 meV per atom.

The structure belongs to space group P4/mmm (No. 123); the cell edges are 4.109, 4.109 and 8.233 Å and the angles 90.00°, 90.00° and 90.00°. Symmetry generates all atoms from La at (0.000, 0.000, 0.000), Pa at (0.000, 0.000, 0.500), B at (0.198, 0.500, 0.253), B at (0.500, 0.500, 0.101) and B at (0.500, 0.500, 0.402).

=====

Material: KCuAgCl4
Method: DFT, PBE
State: relaxed

The value obtained for the total energy is -2.93 eV/atom. As for the uncorrected formation energy: -0.72 eV/atom.

The structure belongs to space group F-43m (No. 216); the cell edges are 10.968, 10.968 and 10.968 Å and the angles 90.00°, 90.00° and 90.00°. Symmetry generates all atoms from K at (0.000, 0.000, 0.000), Cu at (0.000, 0.000, 0.500), Ag at (0.250, 0.250, 0.750) and Cl at (0.118, 0.118, 0.618).

=====

Material: MnGePCN
Method: DFT, PBE
State: relaxed

For the distance to the lowest polymorph of the same formula, the calculation gives 155 meV per atom. The value obtained for the total energy is -7.10 eV/atom. As for the uncorrected formation energy: 0.25 eV/atom.

The structure belongs to space group Pm (No. 6); the cell edges are 3.482, 3.232 and 6.067 Å and the angles 90.00°, 96.63° and 90.00°. Symmetry generates all atoms from Mn at (0.000, 0.000, 0.000), Ge at (0.380, 0.500, 0.485), P at (0.938, 0.500, 0.742), C at (0.352, 0.000, 0.293) and N at (0.537, 0.000, 0.110).

=====

Material: CuSCl2
Method: DFT, PBE
State: relaxed

For the distance to the lowest polymorph of the same formula, the calculation gives 625 meV per atom. The value obtained for the total energy is -2.59 eV/atom. As for the uncorrected formation energy: 0.39 eV/atom.

The structure belongs to space group R-3m (No. 166, hexagonal axes); the cell edges are 4.2951, 4.2951 and 22.8396 Å and the angles 90.00°, 90.00° and 120.00°. Symmetry generates all atoms from Cu at (0.0000, 0.0000, 0.0000), S at (0.0000, 0.0000, 0.5000) and Cl at (0.0000, 0.0000, 0.0914).